1 | # AlCrPCl2 (PBE, optimized geometry)
# - Total magnetic moment: 2.0 μB/cell
# - Crystal system: tetragonal
data_AlCrPCl2
_symmetry_space_group_name_H-M 'P 1'
_symmetry_Int_Tables_number 1
_cell_length_a 4.9016
_cell_length_b 4.9016
_cell_length_c 4.6453
_cell_angle_alpha 90.00
_cell_angle_beta 90.00
_cell_angle_gamma 90.00
loop_
_symmetry_equiv_pos_as_xyz
'x,y,z'
loop_
_atom_site_label
_atom_site_type_symbol
_atom_site_fract_x
_atom_site_fract_y
_atom_site_fract_z
_atom_site_occupancy
Al1 Al 0.0000 0.0000 0.0000 1
Cr1 Cr 0.5000 0.5000 0.5000 1
P1 P 0.5000 0.5000 0.0000 1
Cl1 Cl 0.0000 0.5000 0.5000 1
Cl2 Cl 0.5000 0.0000 0.5000 1

***

2 | # AlCrPCl2 (PBE, optimized geometry)
# - Total magnetic moment: 3.9 μB/cell
# - Crystal system: tetragonal
data_AlCrPCl2
_symmetry_space_group_name_H-M 'P 1'
_symmetry_Int_Tables_number 1
_cell_length_a 4.5791
_cell_length_b 4.5791
_cell_length_c 5.0284
_cell_angle_alpha 90.00
_cell_angle_beta 90.00
_cell_angle_gamma 90.00
loop_
_symmetry_equiv_pos_as_xyz
'x,y,z'
loop_
_atom_site_label
_atom_site_type_symbol
_atom_site_fract_x
_atom_site_fract_y
_atom_site_fract_z
_atom_site_occupancy
Al1 Al 0.0000 0.0000 0.0000 1
Cr1 Cr 0.5000 0.5000 0.5000 1
P1 P 0.0000 0.0000 0.5000 1
Cl1 Cl 0.0000 0.5000 0.0000 1
Cl2 Cl 0.5000 0.0000 0.0000 1

***

Ordering by calculated energy gives the sequence 1, 2, with the first entry being the most stable.

***

1 | # Cs2AlInCl6 (PBE, optimized geometry)
# - Total magnetic moment: 0.0 μB/cell
# - Crystal system: cubic
data_Cs2AlInCl6
_symmetry_space_group_name_H-M 'P 1'
_symmetry_Int_Tables_number 1
_cell_length_a 7.6779
_cell_length_b 7.6779
_cell_length_c 7.6779
_cell_angle_alpha 60.00
_cell_angle_beta 60.00
_cell_angle_gamma 60.00
loop_
_symmetry_equiv_pos_as_xyz
'x,y,z'
loop_
_atom_site_label
_atom_site_type_symbol
_atom_site_fract_x
_atom_site_fract_y
_atom_site_fract_z
_atom_site_occupancy
Cs1 Cs 0.2500 0.2500 0.2500 1
Cs2 Cs 0.7500 0.7500 0.7500 1
Al1 Al 0.0000 0.0000 0.0000 1
In1 In 0.5000 0.5000 0.5000 1
Cl1 Cl 0.2174 0.2174 0.7826 1
Cl2 Cl 0.2174 0.7826 0.2174 1
Cl3 Cl 0.2174 0.7826 0.7826 1
Cl4 Cl 0.7826 0.2174 0.2174 1
Cl5 Cl 0.7826 0.2174 0.7826 1
Cl6 Cl 0.7826 0.7826 0.2174 1

***

2 | # Cs2AlInCl6 (PBE, optimized geometry)
# - Total magnetic moment: 0.0 μB/cell
# - Crystal system: trigonal
data_Cs2AlInCl6
_symmetry_space_group_name_H-M 'P 1'
_symmetry_Int_Tables_number 1
_cell_length_a 14.9483
_cell_length_b 14.9483
_cell_length_c 14.9483
_cell_angle_alpha 29.09
_cell_angle_beta 29.09
_cell_angle_gamma 29.09
loop_
_symmetry_equiv_pos_as_xyz
'x,y,z'
loop_
_atom_site_label
_atom_site_type_symbol
_atom_site_fract_x
_atom_site_fract_y
_atom_site_fract_z
_atom_site_occupancy
Cs1 Cs 0.1338 0.1338 0.1338 1
Cs2 Cs 0.3038 0.3038 0.3038 1
Cs3 Cs 0.6962 0.6962 0.6962 1
Cs4 Cs 0.8662 0.8662 0.8662 1
Al1 Al 0.0000 0.0000 0.0000 1
Al2 Al 0.5000 0.5000 0.5000 1
In1 In 0.4128 0.4128 0.4128 1
In2 In 0.5872 0.5872 0.5872 1
Cl1 Cl 0.1708 0.6171 0.6171 1
Cl2 Cl 0.1798 0.1798 0.7367 1
Cl3 Cl 0.1798 0.7367 0.1798 1
Cl4 Cl 0.2633 0.8202 0.8202 1
Cl5 Cl 0.3829 0.3829 0.8292 1
Cl6 Cl 0.3829 0.8292 0.3829 1
Cl7 Cl 0.6171 0.1708 0.6171 1
Cl8 Cl 0.6171 0.6171 0.1708 1
Cl9 Cl 0.7367 0.1798 0.1798 1
Cl10 Cl 0.8202 0.2633 0.8202 1
Cl11 Cl 0.8202 0.8202 0.2633 1
Cl12 Cl 0.8292 0.3829 0.3829 1

***

Ordering by calculated energy gives the sequence 1, 2, with the first entry being the most stable.

***

1 | # AlCu3Cl (PBE, optimized geometry)
# - Total magnetic moment: 0.0 μB/cell
# - Crystal system: cubic
data_AlCu3Cl
_symmetry_space_group_name_H-M 'P 1'
_symmetry_Int_Tables_number 1
_cell_length_a 4.4892
_cell_length_b 4.4892
_cell_length_c 4.4892
_cell_angle_alpha 90.00
_cell_angle_beta 90.00
_cell_angle_gamma 90.00
loop_
_symmetry_equiv_pos_as_xyz
'x,y,z'
loop_
_atom_site_label
_atom_site_type_symbol
_atom_site_fract_x
_atom_site_fract_y
_atom_site_fract_z
_atom_site_occupancy
Al1 Al 0.0000 0.0000 0.0000 1
Cu1 Cu 0.0000 0.5000 0.5000 1
Cu2 Cu 0.5000 0.0000 0.5000 1
Cu3 Cu 0.5000 0.5000 0.0000 1
Cl1 Cl 0.5000 0.5000 0.5000 1

***

2 | # AlCu3Cl (PBE, optimized geometry)
# - Total magnetic moment: 0.0 μB/cell
# - Crystal system: cubic
data_AlCu3Cl
_symmetry_space_group_name_H-M 'P 1'
_symmetry_Int_Tables_number 1
_cell_length_a 4.6557
_cell_length_b 4.6557
_cell_length_c 4.6557
_cell_angle_alpha 90.00
_cell_angle_beta 90.00
_cell_angle_gamma 90.00
loop_
_symmetry_equiv_pos_as_xyz
'x,y,z'
loop_
_atom_site_label
_atom_site_type_symbol
_atom_site_fract_x
_atom_site_fract_y
_atom_site_fract_z
_atom_site_occupancy
Al1 Al 0.0000 0.0000 0.0000 1
Cu1 Cu 0.0000 0.0000 0.5000 1
Cu2 Cu 0.0000 0.5000 0.0000 1
Cu3 Cu 0.5000 0.0000 0.0000 1
Cl1 Cl 0.5000 0.5000 0.5000 1

***

Ordering by calculated energy gives the sequence 2, 1, with the first entry being the most stable.

***

1 | # Al3CuCl (PBE, optimized geometry)
# - Total magnetic moment: 0.0 μB/cell
# - Crystal system: cubic
data_Al3CuCl
_symmetry_space_group_name_H-M 'P 1'
_symmetry_Int_Tables_number 1
_cell_length_a 4.9389
_cell_length_b 4.9389
_cell_length_c 4.9389
_cell_angle_alpha 90.00
_cell_angle_beta 90.00
_cell_angle_gamma 90.00
loop_
_symmetry_equiv_pos_as_xyz
'x,y,z'
loop_
_atom_site_label
_atom_site_type_symbol
_atom_site_fract_x
_atom_site_fract_y
_atom_site_fract_z
_atom_site_occupancy
Al1 Al 0.0000 0.0000 0.5000 1
Al2 Al 0.0000 0.5000 0.0000 1
Al3 Al 0.5000 0.0000 0.0000 1
Cu1 Cu 0.5000 0.5000 0.5000 1
Cl1 Cl 0.0000 0.0000 0.0000 1

***

2 | # Al3CuCl (PBE, optimized geometry)
# - Total magnetic moment: 0.0 μB/cell
# - Crystal system: cubic
data_Al3CuCl
_symmetry_space_group_name_H-M 'P 1'
_symmetry_Int_Tables_number 1
_cell_length_a 4.6723
_cell_length_b 4.6723
_cell_length_c 4.6723
_cell_angle_alpha 90.00
_cell_angle_beta 90.00
_cell_angle_gamma 90.00
loop_
_symmetry_equiv_pos_as_xyz
'x,y,z'
loop_
_atom_site_label
_atom_site_type_symbol
_atom_site_fract_x
_atom_site_fract_y
_atom_site_fract_z
_atom_site_occupancy
Al1 Al 0.0000 0.0000 0.5000 1
Al2 Al 0.0000 0.5000 0.0000 1
Al3 Al 0.5000 0.0000 0.0000 1
Cu1 Cu 0.0000 0.0000 0.0000 1
Cl1 Cl 0.5000 0.5000 0.5000 1

***

Ordering by calculated energy gives the sequence 2, 1, with the first entry being the most stable.

***

1 | # AlCu2Cl8 (PBE, optimized geometry)
# - Total magnetic moment: 1.1 μB/cell
# - Crystal system: monoclinic
data_AlCu2Cl8
_symmetry_space_group_name_H-M 'P 1'
_symmetry_Int_Tables_number 1
_cell_length_a 7.4856
_cell_length_b 7.4856
_cell_length_c 6.1136
_cell_angle_alpha 103.10
_cell_angle_beta 103.10
_cell_angle_gamma 91.44
loop_
_symmetry_equiv_pos_as_xyz
'x,y,z'
loop_
_atom_site_label
_atom_site_type_symbol
_atom_site_fract_x
_atom_site_fract_y
_atom_site_fract_z
_atom_site_occupancy
Al1 Al 0.0000 0.0000 0.0000 1
Cu1 Cu 0.1876 0.1876 0.6611 1
Cu2 Cu 0.8124 0.8124 0.3389 1
Cl1 Cl 0.0593 0.7594 0.1762 1
Cl2 Cl 0.2140 0.2140 0.3198 1
Cl3 Cl 0.2406 0.9407 0.8238 1
Cl4 Cl 0.4222 0.4222 0.8292 1
Cl5 Cl 0.5778 0.5778 0.1708 1
Cl6 Cl 0.7594 0.0593 0.1762 1
Cl7 Cl 0.7860 0.7860 0.6802 1
Cl8 Cl 0.9407 0.2406 0.8238 1

***

2 | # AlCu2Cl8 (PBE, optimized geometry)
# - Total magnetic moment: 1.0 μB/cell
# - Crystal system: monoclinic
data_AlCu2Cl8
_symmetry_space_group_name_H-M 'P 1'
_symmetry_Int_Tables_number 1
_cell_length_a 7.2603
_cell_length_b 7.2603
_cell_length_c 6.2143
_cell_angle_alpha 96.30
_cell_angle_beta 96.30
_cell_angle_gamma 90.89
loop_
_symmetry_equiv_pos_as_xyz
'x,y,z'
loop_
_atom_site_label
_atom_site_type_symbol
_atom_site_fract_x
_atom_site_fract_y
_atom_site_fract_z
_atom_site_occupancy
Al1 Al 0.0000 0.0000 0.0000 1
Cu1 Cu 0.1506 0.1506 0.4968 1
Cu2 Cu 0.8494 0.8494 0.5032 1
Cl1 Cl 0.0659 0.7531 0.7532 1
Cl2 Cl 0.2054 0.2054 0.8496 1
Cl3 Cl 0.2469 0.9341 0.2468 1
Cl4 Cl 0.4277 0.4277 0.3707 1
Cl5 Cl 0.5723 0.5723 0.6293 1
Cl6 Cl 0.7531 0.0659 0.7532 1
Cl7 Cl 0.7946 0.7946 0.1504 1
Cl8 Cl 0.9341 0.2469 0.2468 1

***

Ordering by calculated energy gives the sequence 1, 2, with the first entry being the most stable.

***

1 | # Dy2AlCl (PBE, optimized geometry)
# - Total magnetic moment: 0.0 μB/cell
# - Crystal system: trigonal
data_Dy2AlCl
_symmetry_space_group_name_H-M 'P 1'
_symmetry_Int_Tables_number 1
_cell_length_a 8.8921
_cell_length_b 8.8921
_cell_length_c 8.8921
_cell_angle_alpha 23.29
_cell_angle_beta 23.29
_cell_angle_gamma 23.29
loop_
_symmetry_equiv_pos_as_xyz
'x,y,z'
loop_
_atom_site_label
_atom_site_type_symbol
_atom_site_fract_x
_atom_site_fract_y
_atom_site_fract_z
_atom_site_occupancy
Dy1 Dy 0.0000 0.0000 0.0000 1
Dy2 Dy 0.1672 0.1672 0.1672 1
Al1 Al 0.5837 0.5837 0.5837 1
Cl1 Cl 0.4149 0.4149 0.4149 1

***

2 | # Dy2AlCl (PBE, optimized geometry)
# - Total magnetic moment: 0.0 μB/cell
# - Crystal system: trigonal
data_Dy2AlCl
_symmetry_space_group_name_H-M 'P 1'
_symmetry_Int_Tables_number 1
_cell_length_a 10.7050
_cell_length_b 10.7050
_cell_length_c 10.7050
_cell_angle_alpha 18.19
_cell_angle_beta 18.19
_cell_angle_gamma 18.19
loop_
_symmetry_equiv_pos_as_xyz
'x,y,z'
loop_
_atom_site_label
_atom_site_type_symbol
_atom_site_fract_x
_atom_site_fract_y
_atom_site_fract_z
_atom_site_occupancy
Dy1 Dy 0.0961 0.0961 0.0961 1
Dy2 Dy 0.9039 0.9039 0.9039 1
Al1 Al 0.0000 0.0000 0.0000 1
Cl1 Cl 0.5000 0.5000 0.5000 1

***

Ordering by calculated energy gives the sequence 1, 2, with the first entry being the most stable.